# 1
VASP calculation (PBE) on a geometry-optimized Rb4CoBr7 structure.

Total DFT energy (no corrections) ... -3.001 eV per atom
Space-group type ... No. 12
Magnetic moment ... 0.267 μB per atom
Energy relative to the elements, uncorrected ... -107 kJ/mol of atoms

```
12
Lattice="9.8139 -2.5593 0.0000 9.8139 2.5593 0.0000 -9.4374 0.0000 10.7647" Properties=species:S:1:pos:R:3 pbc="T T T"
Rb -1.3100 0.0000 3.9323
Rb 3.9012 0.0000 1.8042
Rb 6.2891 0.0000 8.9605
Rb 11.5004 0.0000 6.8325
Co 9.8139 0.0000 0.0000
Br 0.0000 0.0000 0.0000
Br -5.7112 0.0000 9.1546
Br 2.0671 0.0000 4.6545
Br -0.5525 0.0000 8.6863
Br 10.7428 0.0000 2.0784
Br 8.1232 0.0000 6.1102
Br 15.9016 0.0000 1.6101
```

# 2
VASP calculation (PBE) on a geometry-optimized Rb2CoBr5 structure.

Total DFT energy (no corrections) ... -3.185 eV per atom
Space-group type ... No. 107
Magnetic moment ... 0.250 μB per atom
Energy relative to the elements, uncorrected ... -97 kJ/mol of atoms

```
8
Lattice="-3.8761 3.8761 4.8490 3.8761 -3.8761 4.8490 3.8761 3.8761 -4.8490" Properties=species:S:1:pos:R:3 pbc="T T T"
Rb 3.8761 0.0000 0.0000
Rb 0.0000 3.8761 0.0000
Co 0.0000 0.0000 2.8182
Br 2.1987 2.1987 -2.4460
Br 1.6774 -1.6774 2.4031
Br -1.6774 1.6774 2.4031
Br 1.6774 1.6774 2.4031
Br 0.0000 0.0000 5.2285
```

# 3
VASP calculation (PBE) on a geometry-optimized RbCoBr3 structure.

Total DFT energy (no corrections) ... -3.513 eV per atom
Space-group type ... No. 14
Magnetic moment ... 0.600 μB per atom
Energy relative to the elements, uncorrected ... -86 kJ/mol of atoms

```
20
Lattice="7.4480 0.0000 0.0000 0.0000 6.3587 0.0000 -7.3643 0.0000 16.8965" Properties=species:S:1:pos:R:3 pbc="T T T"
Rb 0.5982 1.5482 2.1017
Rb -3.0840 1.6312 10.5499
Rb 3.1677 4.7275 6.3466
Rb -0.5145 4.8106 14.7948
Co -0.3938 0.9395 7.2051
Co -4.0759 2.2399 15.6533
Co 4.1596 4.1189 1.2432
Co 0.4775 5.4192 9.6914
Br -2.6723 1.5477 6.9616
Br -6.3544 1.6317 15.4099
Br -4.0170 4.6788 15.8941
Br -0.3348 4.8593 7.4458
Br 1.1398 1.5883 5.5351
Br -2.5423 1.5911 13.9833
Br 2.6260 4.7676 2.9132
Br -1.0562 4.7705 11.3614
Br 0.4185 1.4994 9.4507
Br 4.1007 1.6799 1.0024
Br 6.4381 4.7270 1.4866
Br 2.7560 4.8111 9.9349
```

# 4
VASP calculation (PBE) on a geometry-optimized RbCoBr2 structure.

Total DFT energy (no corrections) ... -3.207 eV per atom
Space-group type ... No. 166
Magnetic moment ... 0.583 μB per atom
Offset from the most stable computed form ... 1.23 eV per formula unit
Energy relative to the elements, uncorrected ... -34 kJ/mol of atoms

```
4
Lattice="2.0208 1.1667 9.1188 -2.0208 1.1667 9.1188 0.0000 -2.3334 9.1188" Properties=species:S:1:pos:R:3 pbc="T T T"
Rb 0.0000 0.0000 0.0000
Co 0.0000 0.0000 13.6783
Br 0.0000 0.0000 3.2328
Br 0.0000 0.0000 24.1237
```